5
Lattice="-1.7916 1.4175 -4.4785 -3.6629 -3.4225 0.3820 -2.9411 3.3990 2.2524" Properties=species:S:1:pos:R:3 comment="Hf3WAu, optimized geometry, DFT PBE" sg="No. 221" polymorph_energy_kcal_per_mol_atoms=0.00 formation_energy_kj_per_mol_fu=437.1 pbc="T T T"
Hf -1.8314 -1.7113 0.1910
Hf -1.4705 1.6995 1.1262
Hf -0.8958 0.7088 -2.2393
Au -4.1978 0.6970 -0.9221
W 0.0000 0.0000 0.0000